(1)
Computed, not measured: a geometry-optimized ZrAuN structure at the PBE-GGA level of DFT.

a b c (Å): 3.8613 3.8612 6.6344
angles (deg): 89.99 90.01 90.00
Closest atoms and distances in Å follow each position.
Sites, in units of the cell vectors:
N 0.2500 0.2500 0.5000  4 Zr 2.15
Zr 0.7500 0.2500 0.6430  4 N 2.15
N 0.7500 0.7500 0.5000  4 Zr 2.15
Au 0.2500 0.7500 0.9241  1 Zr 2.87, 4 Au 2.91
Au 0.7500 0.2500 0.0759  1 Zr 2.87, 4 Au 2.91
Zr 0.2500 0.7500 0.3570  4 N 2.15

Output
Formation energy without anion corrections (eV per atom): -0.963
Energy above the lowest structure with this stoichiometry (eV per formula unit): 0.13
Symmetry: No. 129
D(E_F) (states/eV/cell): 1.30

(2)
Computed, not measured: a geometry-optimized Zr3AuN structure at the PBE-GGA level of DFT.

a b c (Å): 4.3858 7.0631 6.5751
angles (deg): 62.30 90.00 90.00
Closest atoms and distances in Å follow each position.
Sites, in units of the cell vectors:
N 0.0783 0.8632 0.5992  6 Zr 2.19-2.27
Zr 0.5783 0.8632 0.0992  2 N 2.19
Zr 0.0783 0.6132 0.9738  2 N 2.27
Au 0.5784 0.3632 0.8492  10 Zr 3.13-3.16, 2 Au 3.29
Zr 0.5784 0.8632 0.5991  2 N 2.19
N 0.0784 0.8632 0.0992  6 Zr 2.19-2.27
Zr 0.0783 0.6132 0.4738  2 N 2.27
Zr 0.0784 0.1132 0.2245  2 N 2.27
Zr 0.0784 0.1132 0.7245  2 N 2.27
Au 0.5783 0.3632 0.3492  10 Zr 3.13-3.16, 2 Au 3.29

Output
Formation energy without anion corrections (eV per atom): -0.879
Symmetry: No. 47
D(E_F) (states/eV/cell): 6.30

(3)
Computed, not measured: a geometry-optimized Zr3AuN structure at the PBE-GGA level of DFT.

a b c (Å): 4.7787 4.7787 8.9170
angles (deg): 90.00 90.00 120.00
Closest atoms and distances in Å follow each position.
Sites, in units of the cell vectors:
Au 0.6667 0.3333 0.2500  5 Zr 2.76-2.90
Au 0.3333 0.6667 0.7500  5 Zr 2.76-2.90
Zr 0.3333 0.6667 0.4252  3 N 2.84, 4 Au 2.90-3.17, 7 Zr 3.06-3.17
Zr 0.0000 0.0000 0.7500  2 N 2.23
Zr 0.6667 0.3333 0.5748  3 N 2.84, 4 Au 2.90-3.17, 7 Zr 3.06-3.17
Zr 0.0000 0.0000 0.2500  2 N 2.23
Zr 0.3333 0.6667 0.0748  3 N 2.84, 4 Au 2.90-3.17, 7 Zr 3.06-3.17
N 0.0000 0.0000 0.0000  2 Zr 2.23
Zr 0.6667 0.3333 0.9252  3 N 2.84, 4 Au 2.90-3.17, 7 Zr 3.06-3.17
N 0.0000 0.0000 0.5000  2 Zr 2.23

Output
Formation energy without anion corrections (eV per atom): -0.429
Symmetry: No. 194
D(E_F) (states/eV/cell): 9.09

(4)
Computed, not measured: a geometry-optimized Zr3AuN structure at the PBE-GGA level of DFT.

a b c (Å): 5.7649 5.7649 5.7649
angles (deg): 90.12 90.12 90.12
Closest atoms and distances in Å follow each position.
Sites, in units of the cell vectors:
Zr 0.2500 0.9998 0.5002  1 N 2.04
Zr 0.0002 0.4998 0.7500  1 N 2.04
Au 0.5000 0.5000 0.5000  2 N 2.49
N 0.2500 0.2500 0.2500  3 Zr 2.04
Zr 0.9998 0.5002 0.2500  1 N 2.04
Zr 0.4998 0.7500 0.0002  1 N 2.04
N 0.7500 0.7500 0.7500  3 Zr 2.04
Zr 0.5002 0.2500 0.9998  1 N 2.04
Au 0.0000 0.0000 0.0000  2 N 2.49
Zr 0.7500 0.0002 0.4998  1 N 2.04

Output
Formation energy without anion corrections (eV per atom): -0.385
Symmetry: No. 167
D(E_F) (states/eV/cell): 7.25

(5)
Computed, not measured: a geometry-optimized ZrAuN structure at the PBE-GGA level of DFT.

a b c (Å): 5.5897 5.5780 6.9127
angles (deg): 113.84 90.00 90.00
Closest atoms and distances in Å follow each position.
Sites, in units of the cell vectors:
Zr 0.5001 0.3209 0.6415  4 N 2.17
N 0.7500 0.0003 0.4999  4 Zr 2.17
N 0.7500 0.5003 0.4999  4 Zr 2.17
Zr 0.4999 0.6791 0.3585  4 N 2.17
Au 0.1739 0.6732 0.0000  5 Au 2.74-2.92, 4 Zr 3.06-3.07
Au 0.6739 0.8268 0.0000  5 Au 2.74-2.92, 4 Zr 3.06-3.07
N 0.2500 0.4997 0.5001  4 Zr 2.17
N 0.2500 0.9997 0.5001  4 Zr 2.17
Zr 0.0001 0.1791 0.3585  4 N 2.17
Au 0.3261 0.1732 0.0000  5 Au 2.74-2.92, 4 Zr 3.06-3.07
Au 0.8261 0.3268 0.0000  5 Au 2.74-2.92, 4 Zr 3.06-3.07
Zr 0.9999 0.8209 0.6415  4 N 2.17

Output
Formation energy without anion corrections (eV per atom): -1.008
Energy above the lowest structure with this stoichiometry (eV per formula unit): 0.00
Symmetry: No. 64
D(E_F) (states/eV/cell): 1.84

(6)
Computed, not measured: a geometry-optimized Zr3AuN structure at the PBE-GGA level of DFT.

a b c (Å): 4.9065 11.9337 6.7121
angles (deg): 90.00 90.00 90.00
Closest atoms and distances in Å follow each position.
Sites, in units of the cell vectors:
Zr 0.5003 0.3831 0.3820  1 N 2.12
Zr 0.4997 0.6169 0.6180  1 N 2.12
Zr 0.9997 0.8831 0.8820  1 N 2.12
N 0.5005 0.2500 0.5918  3 Zr 2.12
Zr 0.0005 0.2500 0.5920  1 N 2.12
Au 0.0000 0.5000 0.5000  8 Zr 2.92-3.05
Zr 0.9997 0.6169 0.8820  1 N 2.12
N 0.0005 0.2500 0.9082  3 Zr 2.12
Au 0.5000 0.0000 0.0000  8 Zr 2.92-3.05
N 0.9995 0.7500 0.0918  3 Zr 2.12
Au 0.0000 0.0000 0.5000  8 Zr 2.92-3.05
Zr 0.9995 0.7500 0.4080  1 N 2.12
N 0.4995 0.7500 0.4082  3 Zr 2.12
Zr 0.0003 0.3831 0.1180  1 N 2.12
Zr 0.4995 0.7500 0.0920  1 N 2.12
Zr 0.4997 0.8831 0.6180  1 N 2.12
Au 0.5000 0.5000 0.0000  8 Zr 2.92-3.05
Zr 0.5003 0.1169 0.3820  1 N 2.12
Zr 0.5005 0.2500 0.9080  1 N 2.12
Zr 0.0003 0.1169 0.1180  1 N 2.12

Output
Formation energy without anion corrections (eV per atom): -0.669
Symmetry: No. 74
D(E_F) (states/eV/cell): 27.10

(7)
Computed, not measured: a geometry-optimized Zr3AuN structure at the PBE-GGA level of DFT.

a b c (Å): 4.4075 4.4075 6.8005
angles (deg): 90.00 90.00 90.00
Closest atoms and distances in Å follow each position.
Sites, in units of the cell vectors:
N 0.5000 0.5000 0.6550  4 Zr 2.21
Au 0.0000 0.0000 0.3666  5 Zr 2.72-2.87
Zr 0.0000 0.0000 0.9670  1 Au 2.72
Zr 0.0000 0.5000 0.6376  2 N 2.21
Zr 0.5000 0.0000 0.6376  2 N 2.21

Output
Formation energy without anion corrections (eV per atom): 0.033
Symmetry: No. 99
D(E_F) (states/eV/cell): 3.44

(8)
Computed, not measured: a geometry-optimized Zr4Au2N structure at the PBE-GGA level of DFT.

a b c (Å): 4.4450 4.4450 7.6459
angles (deg): 73.10 73.10 90.00
Closest atoms and distances in Å follow each position.
Sites, in units of the cell vectors:
Au 0.6343 0.6343 0.7314  5 Zr 2.72-2.91
N 0.0000 0.0000 0.0000  6 Zr 2.22-2.38
Zr 0.8295 0.8295 0.3410  1 N 2.38
Zr 0.1705 0.1705 0.6590  1 N 2.38
Au 0.3657 0.3657 0.2686  5 Zr 2.72-2.91
Zr 0.0000 0.5000 0.0000  2 N 2.22
Zr 0.5000 0.0000 0.0000  2 N 2.22

Output
Formation energy without anion corrections (eV per atom): -0.731
Energy above the lowest structure with this stoichiometry (eV per formula unit): 0.00
Symmetry: No. 139
D(E_F) (states/eV/cell): 6.41

(9)
Computed, not measured: a geometry-optimized Zr2AuN structure at the PBE-GGA level of DFT.

a b c (Å): 3.3174 3.3174 7.3199
angles (deg): 89.98 103.11 120.02
Closest atoms and distances in Å follow each position.
Sites, in units of the cell vectors:
Zr 0.5485 0.2747 0.8232  3 N 2.29
Au 0.0000 0.5000 0.5000  6 Zr 2.98, 6 Au 3.32
N 0.0000 0.0000 0.0000  6 Zr 2.29
Zr 0.4514 0.7253 0.1767  3 N 2.29

Output
Formation energy without anion corrections (eV per atom): -1.070
Symmetry: No. 166
D(E_F) (states/eV/cell): 1.25

(10)
Computed, not measured: a geometry-optimized Zr6AuN4 structure at the PBE-GGA level of DFT.

a b c (Å): 3.3492 5.8482 17.4214
angles (deg): 90.00 90.00 106.64
Closest atoms and distances in Å follow each position.
Sites, in units of the cell vectors:
Zr 0.0345 0.0689 0.1466  3 N 2.21-2.26
Au 0.3419 0.6838 0.7500  6 Zr 2.78-2.82
Zr 0.5000 0.0000 0.5000  6 N 2.36-2.38
N 0.4046 0.8091 0.1207  6 Zr 2.26-2.36
Au 0.6581 0.3162 0.2500  6 Zr 2.78-2.82
Zr 0.2226 0.4452 0.5781  5 N 2.25-2.38
Zr 0.0345 0.0689 0.3534  3 N 2.21-2.26
N 0.8612 0.7223 0.9610  6 Zr 2.21-2.38
Zr 0.6441 0.2882 0.7500  2 N 2.32
Zr 0.9655 0.9311 0.6466  3 N 2.21-2.26
N 0.4046 0.8091 0.3793  6 Zr 2.26-2.36
N 0.1388 0.2777 0.4610  6 Zr 2.21-2.38
Zr 0.2226 0.4452 0.9219  5 N 2.25-2.38
Zr 0.3559 0.7118 0.2500  2 N 2.32
Zr 0.9655 0.9311 0.8534  3 N 2.21-2.26
N 0.5954 0.1909 0.6207  6 Zr 2.26-2.36
Zr 0.7774 0.5548 0.4219  5 N 2.25-2.38
Zr 0.5000 0.0000 0.0000  6 N 2.36-2.38
N 0.1388 0.2777 0.0390  6 Zr 2.21-2.38
N 0.5954 0.1909 0.8793  6 Zr 2.26-2.36
Zr 0.7774 0.5548 0.0781  5 N 2.25-2.38
N 0.8612 0.7223 0.5390  6 Zr 2.21-2.38

Output
Formation energy without anion corrections (eV per atom): -1.360
Symmetry: No. 63
D(E_F) (states/eV/cell): 9.89

(11)
Computed, not measured: a geometry-optimized Zr3AuN structure at the PBE-GGA level of DFT.

a b c (Å): 7.5234 7.5234 7.5234
angles (deg): 45.36 45.36 45.36
Closest atoms and distances in Å follow each position.
Sites, in units of the cell vectors:
Zr 0.5560 0.9070 0.2190  2 N 2.24-2.29
Zr 0.4440 0.0930 0.7810  2 N 2.24-2.29
Zr 0.7810 0.4440 0.0930  2 N 2.24-2.29
Au 0.6625 0.6625 0.6625  6 Zr 2.87-2.92
Au 0.3375 0.3375 0.3375  6 Zr 2.87-2.92
Zr 0.9070 0.2190 0.5560  2 N 2.24-2.29
N 0.8370 0.8370 0.8370  6 Zr 2.24-2.29
Zr 0.0930 0.7810 0.4440  2 N 2.24-2.29
Zr 0.2190 0.5560 0.9070  2 N 2.24-2.29
N 0.1630 0.1630 0.1630  6 Zr 2.24-2.29

Output
Formation energy without anion corrections (eV per atom): -0.728
Symmetry: No. 148
D(E_F) (states/eV/cell): 9.34

(12)
Computed, not measured: a geometry-optimized Zr3AuN structure at the PBE-GGA level of DFT.

a b c (Å): 23.2610 5.7961 9.0798
angles (deg): 90.00 162.72 90.00
Closest atoms and distances in Å follow each position.
Sites, in units of the cell vectors:
Zr 0.0881 0.3756 0.9080  1 N 2.24
Zr 0.1488 0.9266 0.2568  2 N 2.23-2.25
Au 0.0050 0.1714 0.4100  1 Au 2.72, 6 Zr 2.81-2.98
Zr 0.6488 0.5734 0.7568  2 N 2.23-2.25
Zr 0.7051 0.0862 0.0599  3 N 2.32-2.36
N 0.9703 0.2495 0.8356  6 Zr 2.23-2.36
Zr 0.5881 0.1244 0.4080  1 N 2.24
Au 0.5050 0.3286 0.9100  1 Au 2.72, 6 Zr 2.81-2.98
Zr 0.2051 0.4138 0.5599  3 N 2.32-2.36
Au 0.9950 0.8286 0.5900  1 Au 2.72, 6 Zr 2.81-2.98
Zr 0.9119 0.6244 0.0920  1 N 2.24
Zr 0.8512 0.0734 0.7432  2 N 2.23-2.25
Zr 0.4119 0.8756 0.5920  1 N 2.24
N 0.5297 0.7495 0.6644  6 Zr 2.23-2.36
Zr 0.2949 0.9138 0.9401  3 N 2.32-2.36
N 0.0297 0.7505 0.1644  6 Zr 2.23-2.36
N 0.4703 0.2505 0.3356  6 Zr 2.23-2.36
Au 0.4950 0.6714 0.0900  1 Au 2.72, 6 Zr 2.81-2.98
Zr 0.7949 0.5862 0.4401  3 N 2.32-2.36
Zr 0.3512 0.4266 0.2432  2 N 2.23-2.25

Output
Formation energy without anion corrections (eV per atom): -0.867
Symmetry: No. 14
D(E_F) (states/eV/cell): 18.55

Q: Which energy values were calculated for the entries above? A: -7.6798, -8.3282, -7.8783, -7.8344, -7.7246, -8.1182, -7.4168, -7.7411, -8.2451, -9.3476, -8.1774, -8.3161, in eV per atom.